An optimized crystal structure of La3In2Sn3, computed with GGA-PBE.

N(E_F)	13.4	states/eV/cell
size of the total moment	0.0	Bohr magnetons per cell
formation energy from the elements	-0.63	eV/atom

Lattice parameters (Å, degrees): 4.6909 6.5936 16.5087 90.00 90.00 110.84
Closest atoms and distances in Å follow each position.
Element x y z (fractional)
Sn: 0.3927 0.7854 0.2500  2 In 3.06, 5 La 3.31-3.32
In: 0.7719 0.5439 0.8884  4 Sn 2.98-3.11
Sn: 0.3829 0.7658 0.9628  3 In 2.98-3.11, 1 Sn 3.14
La: 0.9429 0.8858 0.1133  6 Sn 3.31-3.50, 3 In 3.51-3.54
Sn: 0.6171 0.2342 0.4628  3 In 2.98-3.11, 1 Sn 3.14
Sn: 0.6171 0.2342 0.0372  3 In 2.98-3.11, 1 Sn 3.14
In: 0.2281 0.4561 0.1116  4 Sn 2.98-3.11
La: 0.0571 0.1142 0.8867  6 Sn 3.31-3.50, 3 In 3.51-3.54
In: 0.7719 0.5439 0.6116  4 Sn 2.98-3.11
In: 0.2281 0.4561 0.3884  4 Sn 2.98-3.11
La: 0.9429 0.8858 0.3867  6 Sn 3.31-3.50, 3 In 3.51-3.54
La: 0.3379 0.6758 0.7500  5 Sn 3.32-3.68, 4 In 3.37
La: 0.6621 0.3242 0.2500  5 Sn 3.32-3.68, 4 In 3.37
La: 0.0571 0.1142 0.6133  6 Sn 3.31-3.50, 3 In 3.51-3.54
Sn: 0.6073 0.2146 0.7500  2 In 3.06, 5 La 3.31-3.32
Sn: 0.3829 0.7658 0.5372  3 In 2.98-3.11, 1 Sn 3.14

---

An optimized crystal structure of La2InSn, computed with GGA-PBE.

N(E_F)	3.6	states/eV/cell
size of the total moment	0.6	Bohr magnetons per cell
formation energy from the elements	-0.67	eV/atom

Lattice parameters (Å, degrees): 4.8001 4.5049 6.4990 90.00 111.67 90.00
Closest atoms and distances in Å follow each position.
Element x y z (fractional)
In: 0.5274 0.5000 0.0547  2 Sn 2.99
La: 0.8072 0.5000 0.6145  4 Sn 3.37, 3 In 3.38-3.58
La: 0.0847 0.0000 0.1695  4 In 3.36, 3 Sn 3.39-3.58
Sn: 0.3652 0.0000 0.7304  2 In 2.99

---

formation energy from the elements of number 2 (La2InSn)?
-0.67 eV/atom

---

Copy entry 2 word for word.
An optimized crystal structure of La2InSn, computed with GGA-PBE.

N(E_F)	3.6	states/eV/cell
size of the total moment	0.6	Bohr magnetons per cell
formation energy from the elements	-0.67	eV/atom

Lattice parameters (Å, degrees): 4.8001 4.5049 6.4990 90.00 111.67 90.00
Closest atoms and distances in Å follow each position.
Element x y z (fractional)
In: 0.5274 0.5000 0.0547  2 Sn 2.99
La: 0.8072 0.5000 0.6145  4 Sn 3.37, 3 In 3.38-3.58
La: 0.0847 0.0000 0.1695  4 In 3.36, 3 Sn 3.39-3.58
Sn: 0.3652 0.0000 0.7304  2 In 2.99

---

size of the total moment of number 2 (La2InSn)?
0.6 Bohr magnetons per cell